## InFeNiPt (PBE)

Data for crystalline InFeNiPt at its relaxed geometry.

Output
The space-group type is F-43m (216). The calculation puts the energy relative to the lowest polymorph listed for this composition at 0.0 meV per atom. For the total DFT energy (no corrections), the calculation gives -23.0 eV/f.u.

Cell lengths 4.3543, 4.3543, 4.3543 Å; angles 60.00, 60.00, 60.00 degrees
Last column: nearest neighbours and their distance in Å.
Fractional coordinates of all 4 atoms:
Fe  0.7500  0.7500  0.7500  4 Pt 2.67, 4 In 2.67
In  0.0000  0.0000  0.0000  4 Ni 2.67, 4 Fe 2.67
Ni  0.2500  0.2500  0.2500  4 In 2.67, 4 Pt 2.67
Pt  0.5000  0.5000  0.5000  4 Fe 2.67, 4 Ni 2.67

***

## Na2Nb4O11 (PBE)

Data for crystalline Na2Nb4O11 at its relaxed geometry.

Output
The space-group type is R-3c (167). For the total DFT energy (no corrections), the calculation gives -139.3 eV/f.u.

Cell lengths 12.7868, 12.7868, 12.7868 Å; angles 28.23, 28.23, 28.23 degrees
Last column: nearest neighbours and their distance in Å.
Fractional coordinates of all 34 atoms:
Na  0.1678  0.1678  0.1678  7 O 2.48-2.68
Na  0.3322  0.3322  0.3322  7 O 2.48-2.68
Na  0.6678  0.6678  0.6678  7 O 2.48-2.68
Na  0.8322  0.8322  0.8322  7 O 2.48-2.68
Nb  0.0000  0.0000  0.0000  6 O 2.00
Nb  0.3845  0.7500  0.1155  6 O 1.98-2.03
Nb  0.8845  0.6155  0.2500  6 O 1.98-2.03
Nb  0.7500  0.1155  0.3845  6 O 1.98-2.03
Nb  0.5000  0.5000  0.5000  6 O 2.00
Nb  0.2500  0.8845  0.6155  6 O 1.98-2.03
Nb  0.1155  0.3845  0.7500  6 O 1.98-2.03
Nb  0.6155  0.2500  0.8845  6 O 1.98-2.03
O  0.7500  0.4999  0.0001  2 Nb 2.02
O  0.2808  0.7500  0.0600  2 Nb 1.98-2.00
O  0.0950  0.0950  0.0950  3 Nb 2.03
O  0.4400  0.7500  0.2192  2 Nb 1.98-2.00
O  0.7808  0.5600  0.2500  2 Nb 1.98-2.00
O  0.5001  0.9999  0.2500  2 Nb 2.02
O  0.9400  0.7192  0.2500  2 Nb 1.98-2.00
O  0.7500  0.0600  0.2808  2 Nb 1.98-2.00
O  0.4050  0.4050  0.4050  3 Nb 2.03
O  0.7500  0.2192  0.4400  2 Nb 1.98-2.00
O  0.0001  0.7500  0.4999  2 Nb 2.02
O  0.9999  0.2500  0.5001  2 Nb 2.02
O  0.2500  0.7808  0.5600  2 Nb 1.98-2.00
O  0.5950  0.5950  0.5950  3 Nb 2.03
O  0.2500  0.9400  0.7192  2 Nb 1.98-2.00
O  0.0600  0.2808  0.7500  2 Nb 1.98-2.00
O  0.4999  0.0001  0.7500  2 Nb 2.02
O  0.2192  0.4400  0.7500  2 Nb 1.98-2.00
O  0.5600  0.2500  0.7808  2 Nb 1.98-2.00
O  0.9050  0.9050  0.9050  3 Nb 2.03
O  0.7192  0.2500  0.9400  2 Nb 1.98-2.00
O  0.2500  0.5001  0.9999  2 Nb 2.02

***

## NbPdPt (PBE)

Data for crystalline NbPdPt at its relaxed geometry.

Output
The space-group type is Cmcm (63). The calculation puts the energy relative to the lowest polymorph listed for this composition at 0.0 meV per atom. For the total DFT energy (no corrections), the calculation gives -23.1 eV/f.u. The formation energy is -175 kJ/mol of formula units.

Cell lengths 7.5387, 7.5387, 4.5841 Å; angles 90.00, 90.00, 158.42 degrees
Last column: nearest neighbours and their distance in Å.
Fractional coordinates of all 6 atoms:
Nb  0.8877  0.1123  0.2500  4 Pd 2.81-2.83, 2 Nb 2.82, 6 Pt 2.83-2.84
Nb  0.1123  0.8877  0.7500  4 Pd 2.81-2.83, 2 Nb 2.82, 6 Pt 2.83-2.84
Pd  0.2224  0.7776  0.2500  6 Pd 2.81-2.82, 4 Nb 2.81-2.83, 2 Pt 2.87
Pd  0.7776  0.2224  0.7500  6 Pd 2.81-2.82, 4 Nb 2.81-2.83, 2 Pt 2.87
Pt  0.5540  0.4460  0.2500  4 Pt 2.80-2.82, 6 Nb 2.83-2.84, 2 Pd 2.87
Pt  0.4460  0.5540  0.7500  4 Pt 2.80-2.82, 6 Nb 2.83-2.84, 2 Pd 2.87

***

## BaAlAu (PBE)

Data for crystalline BaAlAu at its relaxed geometry.

Output
The space-group type is P2_13 (198). For the total DFT energy (no corrections), the calculation gives -10.8 eV/f.u.

Cell lengths 7.0471, 7.0471, 7.0471 Å; angles 90.00, 90.00, 90.00 degrees
Last column: nearest neighbours and their distance in Å.
Fractional coordinates of all 12 atoms:
Al  0.6568  0.8432  0.1568  3 Au 2.54
Al  0.3432  0.3432  0.3432  3 Au 2.54
Al  0.8432  0.1568  0.6568  3 Au 2.54
Al  0.1568  0.6568  0.8432  3 Au 2.54
Au  0.4135  0.5865  0.0865  3 Al 2.54
Au  0.5865  0.0865  0.4135  3 Al 2.54
Au  0.0865  0.4135  0.5865  3 Al 2.54
Au  0.9135  0.9135  0.9135  3 Al 2.54
Ba  0.8601  0.3601  0.1399  4 Au 3.34-3.55, 4 Al 3.62-3.70
Ba  0.1399  0.8601  0.3601  4 Au 3.34-3.55, 4 Al 3.62-3.70
Ba  0.6399  0.6399  0.6399  4 Au 3.34-3.55, 4 Al 3.62-3.70
Ba  0.3601  0.1399  0.8601  4 Au 3.34-3.55, 4 Al 3.62-3.70

***

## Tl4MoN2 (PBE)

Data for crystalline Tl4MoN2 at its relaxed geometry.

Output
The space-group type is I4/mmm (139). For the total DFT energy (no corrections), the calculation gives -27.2 eV/f.u.

Cell lengths 6.2339, 6.2339, 6.2339 Å; angles 103.60, 103.60, 121.98 degrees
Last column: nearest neighbours and their distance in Å.
Fractional coordinates of all 7 atoms:
Mo  0.0000  0.0000  0.0000  8 Tl 3.71, 8 N 4.14
N  0.7500  0.2500  0.5000  4 Tl 2.28
N  0.2500  0.7500  0.5000  4 Tl 2.28
Tl  0.7793  0.5000  0.2793  2 N 2.28
Tl  0.5000  0.7793  0.2793  2 N 2.28
Tl  0.5000  0.2207  0.7207  2 N 2.28
Tl  0.2207  0.5000  0.7207  2 N 2.28

***

## Sc3NiC4 (PBE)

Data for crystalline Sc3NiC4 at its relaxed geometry.

Output
The space-group type is Immm (71). For the total DFT energy (no corrections), the calculation gives -64.9 eV/f.u.

Cell lengths 6.5692, 6.5692, 6.5692 Å; angles 149.61, 141.07, 50.17 degrees
Last column: nearest neighbours and their distance in Å.
Fractional coordinates of all 8 atoms:
C  0.4583  0.1242  0.3341  1 C 1.45
C  0.2098  0.8758  0.3341  1 C 1.45
C  0.7902  0.1242  0.6659  1 C 1.45
C  0.5417  0.8758  0.6659  1 C 1.45
Ni  0.0000  0.0000  0.0000  4 C 2.08
Sc  0.5000  0.5000  0.0000  8 C 2.38
Sc  0.8127  0.3127  0.5000  6 C 2.36-2.38
Sc  0.1873  0.6873  0.5000  6 C 2.36-2.38

***

## AcErGa (PBE)

Data for crystalline AcErGa at its relaxed geometry.

Output
The space-group type is F-43m (216). The calculation puts the energy relative to the lowest polymorph listed for this composition at 0.0 meV per atom. For the total DFT energy (no corrections), the calculation gives -12.2 eV/f.u.

Cell lengths 5.1941, 5.1941, 5.1941 Å; angles 60.00, 60.00, 60.00 degrees
Last column: nearest neighbours and their distance in Å.
Fractional coordinates of all 3 atoms:
Ac  0.2500  0.2500  0.2500  4 Ga 3.18
Er  0.7500  0.7500  0.7500  4 Ga 3.18
Ga  0.0000  0.0000  0.0000  4 Er 3.18, 4 Ac 3.18

***

## PrHfAu (PBE)

Data for crystalline PrHfAu at its relaxed geometry.

Output
The space-group type is F-43m (216). For the total DFT energy (no corrections), the calculation gives -15.9 eV/f.u. The formation energy is 199 kJ/mol of formula units.

Cell lengths 4.8592, 4.8592, 4.8592 Å; angles 60.00, 60.00, 60.00 degrees
Last column: nearest neighbours and their distance in Å.
Fractional coordinates of all 3 atoms:
Au  0.2500  0.2500  0.2500  4 Pr 2.98
Hf  0.7500  0.7500  0.7500  4 Pr 2.98
Pr  0.0000  0.0000  0.0000  4 Hf 2.98, 4 Au 2.98

***

## Be22W (PBE)

Data for crystalline Be22W at its relaxed geometry.

Output
The space-group type is Fd-3m (227). For the total DFT energy (no corrections), the calculation gives -96.4 eV/f.u.

Cell lengths 8.1789, 8.1789, 8.1789 Å; angles 60.00, 60.00, 60.00 degrees
Last column: nearest neighbours and their distance in Å.
Fractional coordinates of all 46 atoms:
Be  0.8012  0.3292  0.0685  9 Be 2.13-2.35
Be  0.3292  0.8012  0.0685  9 Be 2.13-2.35
Be  0.8012  0.8012  0.0685  9 Be 2.13-2.35
Be  0.1250  0.1250  0.1250  12 Be 2.46, 2 W 2.50
Be  0.6250  0.1250  0.1250  12 Be 2.46, 2 W 2.50
Be  0.1250  0.6250  0.1250  12 Be 2.46, 2 W 2.50
Be  0.6250  0.6250  0.1250  12 Be 2.05-2.26
Be  0.9208  0.4488  0.1815  9 Be 2.13-2.35
Be  0.4488  0.9208  0.1815  9 Be 2.13-2.35
Be  0.4488  0.4488  0.1815  9 Be 2.13-2.35
Be  0.0685  0.8012  0.3292  9 Be 2.13-2.35
Be  0.8012  0.8012  0.3292  9 Be 2.13-2.35
Be  0.8012  0.0685  0.3292  9 Be 2.13-2.35
Be  0.6349  0.3651  0.3651  12 Be 2.05-2.29
Be  0.3651  0.6349  0.3651  12 Be 2.05-2.29
Be  0.6349  0.6349  0.3651  12 Be 2.05-2.29
Be  0.9208  0.1815  0.4488  9 Be 2.13-2.35
Be  0.4488  0.1815  0.4488  9 Be 2.13-2.35
Be  0.1815  0.4488  0.4488  9 Be 2.13-2.35
Be  0.9208  0.4488  0.4488  9 Be 2.13-2.35
Be  0.1815  0.9208  0.4488  9 Be 2.13-2.35
Be  0.4488  0.9208  0.4488  9 Be 2.13-2.35
Be  0.8849  0.6151  0.6151  12 Be 2.05-2.29
Be  0.6151  0.8849  0.6151  12 Be 2.05-2.29
Be  0.8849  0.8849  0.6151  12 Be 2.05-2.29
Be  0.1250  0.1250  0.6250  12 Be 2.46, 2 W 2.50
Be  0.6250  0.1250  0.6250  12 Be 2.05-2.26
Be  0.1250  0.6250  0.6250  12 Be 2.05-2.26
Be  0.6250  0.6250  0.6250  12 Be 2.05-2.26
Be  0.3651  0.3651  0.6349  12 Be 2.05-2.29
Be  0.6349  0.3651  0.6349  12 Be 2.05-2.29
Be  0.3651  0.6349  0.6349  12 Be 2.05-2.29
Be  0.3292  0.0685  0.8012  9 Be 2.13-2.35
Be  0.8012  0.0685  0.8012  9 Be 2.13-2.35
Be  0.0685  0.3292  0.8012  9 Be 2.13-2.35
Be  0.8012  0.3292  0.8012  9 Be 2.13-2.35
Be  0.0685  0.8012  0.8012  9 Be 2.13-2.35
Be  0.3292  0.8012  0.8012  9 Be 2.13-2.35
Be  0.6151  0.6151  0.8849  12 Be 2.05-2.29
Be  0.8849  0.6151  0.8849  12 Be 2.05-2.29
Be  0.6151  0.8849  0.8849  12 Be 2.05-2.29
Be  0.4488  0.1815  0.9208  9 Be 2.13-2.35
Be  0.1815  0.4488  0.9208  9 Be 2.13-2.35
Be  0.4488  0.4488  0.9208  9 Be 2.13-2.35
W  0.0000  0.0000  0.0000  16 Be 2.50-2.53
W  0.2500  0.2500  0.2500  16 Be 2.50-2.53

***

## LuCuReSb (PBE)

Data for crystalline LuCuReSb at its relaxed geometry.

Output
The space-group type is F-43m (216). The calculation puts the energy relative to the lowest polymorph listed for this composition at 339.4 meV per atom. For the total DFT energy (no corrections), the calculation gives -22.7 eV/f.u.

Cell lengths 4.7393, 4.7393, 4.7393 Å; angles 60.00, 60.00, 60.00 degrees
Last column: nearest neighbours and their distance in Å.
Fractional coordinates of all 4 atoms:
Cu  0.7500  0.7500  0.7500  4 Sb 2.90, 4 Re 2.90
Lu  0.2500  0.2500  0.2500  4 Re 2.90, 4 Sb 2.90
Re  0.5000  0.5000  0.5000  4 Lu 2.90, 4 Cu 2.90
Sb  0.0000  0.0000  0.0000  4 Cu 2.90, 4 Lu 2.90

***

## DyTlCdTe3 (PBE)

Data for crystalline DyTlCdTe3 at its relaxed geometry.

Output
The space-group type is C2/m (12). The calculation puts the energy relative to the lowest polymorph listed for this composition at 69.7 meV per atom. For the total DFT energy (no corrections), the calculation gives -21.8 eV/f.u.

Cell lengths 9.8515, 9.8515, 9.8341 Å; angles 103.31, 103.31, 25.97 degrees
Last column: nearest neighbours and their distance in Å.
Fractional coordinates of all 12 atoms:
Cd  0.5191  0.5191  0.2176  4 Te 2.89-3.04
Cd  0.4809  0.4809  0.7824  4 Te 2.89-3.04
Dy  0.1756  0.1756  0.0883  6 Te 3.03-3.28
Dy  0.8244  0.8244  0.9117  6 Te 3.03-3.28
Te  0.0000  0.0000  0.0000  4 Cd 3.04, 2 Dy 3.28
Te  0.3376  0.3376  0.1357  3 Dy 3.03-3.09, 1 Cd 3.39
Te  0.6740  0.6740  0.3042  1 Cd 2.89, 2 Dy 3.07
Te  0.5000  0.5000  0.5000  2 Cd 2.89
Te  0.3260  0.3260  0.6958  1 Cd 2.89, 2 Dy 3.07
Te  0.6624  0.6624  0.8643  3 Dy 3.03-3.09, 1 Cd 3.39
Tl  0.8624  0.8624  0.4298  7 Te 3.39-3.62
Tl  0.1376  0.1376  0.5702  7 Te 3.39-3.62

***

Number 1: ρ 12.07 g/cm3. Number 2: ρ 4.77 g/cm3. Number 3: ρ 13.67 g/cm3. Number 4: ρ 6.86 g/cm3. Number 5: ρ 8.70 g/cm3. Number 6: ρ 4.47 g/cm3. Number 7: ρ 7.78 g/cm3. Number 8: ρ 10.57 g/cm3. Number 9: ρ 3.28 g/cm3. Number 10: ρ 12.06 g/cm3. Number 11: ρ 7.05 g/cm3.